(1)
This record from Alexandria via LeMat-Bulk describes an optimized crystal structure of Sn2GeO. The functional is GGA-PBE.

The crystal system is cubic. The calculation puts the total moment at 0.00 Bohr magnetons per cell. The value obtained for the uncorrected formation energy is 0.2 eV/f.u.

POSCAR file:
```
Sn2GeO
1.0
6.706 0.000 0.000
0.000 6.706 0.000
0.000 0.000 6.706
Sn Ge O
8 4 4
Cartesian
1.676 1.676 1.676
1.676 1.676 5.029
1.676 5.029 1.676
1.676 5.029 5.029
5.029 1.676 1.676
5.029 1.676 5.029
5.029 5.029 1.676
5.029 5.029 5.029
0.000 0.000 0.000
0.000 3.353 3.353
3.353 0.000 3.353
3.353 3.353 0.000
0.000 0.000 3.353
0.000 3.353 0.000
3.353 0.000 0.000
3.353 3.353 3.353
```

(2)
This record from Alexandria via LeMat-Bulk describes an optimized crystal structure of SnGe2O6. The functional is GGA-PBE.

The crystal system is monoclinic. The calculation puts the total moment at 0.00 Bohr magnetons per cell. The value obtained for the uncorrected formation energy is -14.3 eV/f.u.

POSCAR file:
```
SnGe2O6
1.0
9.869 0.000 0.000
0.000 9.157 0.000
-1.322 0.000 5.510
Sn Ge O
4 8 24
Cartesian
2.464 1.339 0.021
1.803 3.239 2.776
6.745 5.918 2.734
6.084 7.818 5.489
0.106 6.070 1.619
-0.555 7.666 4.374
3.508 6.075 3.856
4.169 7.661 1.101
4.378 1.497 4.409
5.039 3.082 1.654
9.103 1.491 1.136
8.442 3.087 3.891
-0.114 0.193 4.459
0.547 4.386 1.704
1.076 6.871 0.399
0.415 6.865 3.154
1.000 1.648 1.535
0.339 2.931 4.290
2.609 1.650 4.020
3.270 2.929 1.265
3.227 6.734 2.252
2.566 7.002 5.007
3.687 0.177 1.113
3.026 4.402 3.868
5.521 4.756 1.642
4.860 8.981 4.397
5.982 2.156 0.503
5.321 2.423 3.258
5.277 6.229 4.245
5.938 7.507 1.490
8.209 6.227 1.220
7.548 7.509 3.975
8.132 2.292 2.356
7.471 2.287 5.112
8.001 4.771 3.806
8.662 8.965 1.051
```

(3)
This record from Alexandria via LeMat-Bulk describes an optimized crystal structure of Sn3GeO. The functional is GGA-PBE.

The crystal system is cubic. The calculation puts the total moment at 0.00 Bohr magnetons per cell. The value obtained for the uncorrected formation energy is 4.3 eV/f.u.

POSCAR file:
```
Sn3GeO
1.0
5.324 0.000 0.000
0.000 5.324 0.000
0.000 0.000 5.324
Sn Ge O
3 1 1
Cartesian
0.000 0.000 2.662
0.000 2.662 0.000
2.662 0.000 0.000
0.000 0.000 0.000
2.662 2.662 2.662
```

(4)
This record from Alexandria via LeMat-Bulk describes an optimized crystal structure of SnGeO3. The functional is GGA-PBE.

The crystal system is cubic. The calculation puts the total moment at 0.00 Bohr magnetons per cell. The value obtained for the uncorrected formation energy is -4.9 eV/f.u.

POSCAR file:
```
SnGeO3
1.0
4.017 0.000 0.000
0.000 4.017 0.000
0.000 0.000 4.017
Sn Ge O
1 1 3
Cartesian
0.000 0.000 0.000
2.009 2.009 2.009
0.000 0.000 2.009
0.000 2.009 0.000
2.009 0.000 0.000
```